Below is a geometry-optimized LiYB3 structure, with properties calculated at the PBE level.

a = 4.7578 Å, b = 4.7578 Å, c = 4.7578 Å
α = 90.00°, β = 90.00°, γ = 90.00°
Sites, in units of the cell vectors:
Li1 0.0000 0.0000 0.0000
Y1 0.5000 0.5000 0.5000
B1 0.0000 0.5000 0.5000
B2 0.5000 0.0000 0.5000
B3 0.5000 0.5000 0.0000

The energy above the most stable polymorph in this dataset comes out at 5.15 eV/f.u. For the density of states at the Fermi level, the calculation gives 5.77 states/eV per cell. For the theoretical density, the calculation gives 2.0 g/cm3. For the formation energy, the calculation gives 1.9880 eV/atom. Its total magnetization is 0.000 μB/atom. The value obtained for the calculated volume is 107.7 Å³/f.u. Its space-group type is Pm-3m (221).



Below is a geometry-optimized Li3YB structure, with properties calculated at the PBE level.

a = 4.3273 Å, b = 4.3273 Å, c = 4.3273 Å
α = 90.00°, β = 90.00°, γ = 90.00°
Sites, in units of the cell vectors:
Li1 0.0000 0.0000 0.5000
Li2 0.0000 0.5000 0.0000
Li3 0.5000 0.0000 0.0000
Y1 0.5000 0.5000 0.5000
B1 0.0000 0.0000 0.0000

The energy above the most stable polymorph in this dataset comes out at 0.00 eV/f.u. For the density of states at the Fermi level, the calculation gives 1.54 states/eV per cell. For the theoretical density, the calculation gives 2.5 g/cm3. For the formation energy, the calculation gives 0.3523 eV/atom. Its total magnetization is 0.162 μB/atom. The value obtained for the calculated volume is 81.0 Å³/f.u. Its space-group type is Pm-3m (221).



Below is a geometry-optimized Li2YB structure, with properties calculated at the PBE level.

a = 9.9137 Å, b = 9.9137 Å, c = 9.9137 Å
α = 157.94°, β = 157.94°, γ = 31.39°
Sites, in units of the cell vectors:
Li1 0.0413 0.1250 0.4163
Li2 0.3750 0.9587 0.0837
Li3 0.7087 0.6250 0.5837
Li4 0.8750 0.2913 0.9163
Y1 0.2500 0.7500 0.5000
Y2 0.5000 0.5000 0.0000
B1 0.0000 0.0000 0.0000
B2 0.7500 0.2500 0.5000

For the density of states at the Fermi level, the calculation gives 5.93 states/eV per cell. For the theoretical density, the calculation gives 2.7 g/cm3. For the formation energy, the calculation gives 0.3451 eV/atom. Its total magnetization is 0.000 μB/atom. The value obtained for the calculated volume is 68.7 Å³/f.u. Its space-group type is I-42d (122).



Below is a geometry-optimized Li2YB2 structure, with properties calculated at the PBE level.

a = 6.1844 Å, b = 6.1844 Å, c = 4.0708 Å
α = 90.00°, β = 90.00°, γ = 90.00°
Sites, in units of the cell vectors:
Li1 0.1386 0.3614 0.0000
Li2 0.3614 0.8614 0.0000
Li3 0.6386 0.1386 0.0000
Li4 0.8614 0.6386 0.0000
Y1 0.0000 0.0000 0.5000
Y2 0.5000 0.5000 0.5000
B1 0.0891 0.5891 0.5000
B2 0.4109 0.0891 0.5000
B3 0.5891 0.9109 0.5000
B4 0.9109 0.4109 0.5000

The energy above the most stable polymorph in this dataset comes out at 1.51 eV/f.u. For the density of states at the Fermi level, the calculation gives 5.84 states/eV per cell. For the theoretical density, the calculation gives 2.7 g/cm3. For the formation energy, the calculation gives 0.2383 eV/atom. Its total magnetization is 0.120 μB/atom. The value obtained for the calculated volume is 77.8 Å³/f.u. Its space-group type is P4/mbm (127).



Below is a geometry-optimized LiYB4 structure, with properties calculated at the PBE level.

a = 5.8361 Å, b = 11.5313 Å, c = 3.6425 Å
α = 90.00°, β = 90.00°, γ = 90.00°
Sites, in units of the cell vectors:
Li1 0.1289 0.0850 0.0000
Li2 0.3711 0.5850 0.0000
Li3 0.6289 0.4150 0.0000
Li4 0.8711 0.9150 0.0000
Y1 0.1237 0.3486 0.0000
Y2 0.3763 0.8486 0.0000
Y3 0.6237 0.1514 0.0000
Y4 0.8763 0.6514 0.0000
B1 0.0294 0.8064 0.5000
B2 0.1104 0.9502 0.5000
B3 0.1374 0.5332 0.5000
B4 0.2136 0.6859 0.5000
B5 0.2864 0.1860 0.5000
B6 0.3626 0.0332 0.5000
B7 0.3896 0.4502 0.5000
B8 0.4706 0.3064 0.5000
B9 0.5294 0.6936 0.5000
B10 0.6104 0.5498 0.5000
B11 0.6374 0.9668 0.5000
B12 0.7136 0.8141 0.5000
B13 0.7864 0.3140 0.5000
B14 0.8626 0.4668 0.5000
B15 0.8896 0.0498 0.5000
B16 0.9706 0.1936 0.5000

For the density of states at the Fermi level, the calculation gives 7.97 states/eV per cell. For the theoretical density, the calculation gives 3.8 g/cm3. For the formation energy, the calculation gives -0.3985 eV/atom. Its total magnetization is 0.000 μB/atom. The value obtained for the calculated volume is 61.3 Å³/f.u. Its space-group type is Pbam (55).



Below is a geometry-optimized LiYB3 structure, with properties calculated at the PBE level.

a = 3.8812 Å, b = 3.8812 Å, c = 3.8812 Å
α = 90.00°, β = 90.00°, γ = 90.00°
Sites, in units of the cell vectors:
Li1 0.0000 0.0000 0.0000
Y1 0.5000 0.5000 0.5000
B1 0.0000 0.0000 0.5000
B2 0.0000 0.5000 0.0000
B3 0.5000 0.0000 0.0000

The energy above the most stable polymorph in this dataset comes out at 0.00 eV/f.u. For the density of states at the Fermi level, the calculation gives 2.60 states/eV per cell. For the theoretical density, the calculation gives 3.6 g/cm3. For the formation energy, the calculation gives 0.9587 eV/atom. Its total magnetization is 0.000 μB/atom. The value obtained for the calculated volume is 58.5 Å³/f.u. Its space-group type is Pm-3m (221).



Below is a geometry-optimized LiY2B2 structure, with properties calculated at the PBE level.

a = 6.8498 Å, b = 6.8498 Å, c = 3.7015 Å
α = 90.00°, β = 90.00°, γ = 90.00°
Sites, in units of the cell vectors:
Li1 0.0000 0.0000 0.0000
Li2 0.5000 0.5000 0.0000
Y1 0.1846 0.3154 0.5000
Y2 0.3154 0.8154 0.5000
Y3 0.6846 0.1846 0.5000
Y4 0.8154 0.6846 0.5000
B1 0.0841 0.5841 0.0000
B2 0.4159 0.0841 0.0000
B3 0.5841 0.9159 0.0000
B4 0.9159 0.4159 0.0000

For the density of states at the Fermi level, the calculation gives 6.00 states/eV per cell. For the theoretical density, the calculation gives 3.9 g/cm3. For the formation energy, the calculation gives -0.1730 eV/atom. Its total magnetization is 0.000 μB/atom. The value obtained for the calculated volume is 86.8 Å³/f.u. Its space-group type is P4/mbm (127).



Below is a geometry-optimized Li3ZnB structure, with properties calculated at the PBE level.

a = 4.5739 Å, b = 4.5739 Å, c = 4.5739 Å
α = 90.00°, β = 90.00°, γ = 90.00°
Sites, in units of the cell vectors:
Li1 0.0000 0.0000 0.5000
Li2 0.0000 0.5000 0.0000
Li3 0.5000 0.0000 0.0000
Zn1 0.0000 0.0000 0.0000
B1 0.5000 0.5000 0.5000

The energy above the most stable polymorph in this dataset comes out at 2.67 eV/f.u. For the density of states at the Fermi level, the calculation gives 2.40 states/eV per cell. For the theoretical density, the calculation gives 1.7 g/cm3. For the formation energy, the calculation gives 0.9992 eV/atom. Its total magnetization is 0.000 μB/atom. The value obtained for the calculated volume is 95.7 Å³/f.u. Its space-group type is Pm-3m (221).



Below is a geometry-optimized LiZnB structure, with properties calculated at the PBE level.

a = 3.7563 Å, b = 3.7563 Å, c = 5.5313 Å
α = 90.00°, β = 90.00°, γ = 90.00°
Sites, in units of the cell vectors:
Li1 0.2500 0.2500 0.1359
Li2 0.7500 0.7500 0.8641
Zn1 0.2500 0.7500 0.5000
Zn2 0.7500 0.2500 0.5000
B1 0.2500 0.2500 0.7030
B2 0.7500 0.7500 0.2970

For the density of states at the Fermi level, the calculation gives 1.47 states/eV per cell. For the theoretical density, the calculation gives 3.5 g/cm3. For the formation energy, the calculation gives 0.4222 eV/atom. Its total magnetization is 0.000 μB/atom. The value obtained for the calculated volume is 39.0 Å³/f.u. Its space-group type is P4/nmm (129).



Below is a geometry-optimized Li3ZnB structure, with properties calculated at the PBE level.

a = 4.2592 Å, b = 4.2592 Å, c = 4.2592 Å
α = 90.00°, β = 90.00°, γ = 90.00°
Sites, in units of the cell vectors:
Li1 0.0000 0.0000 0.5000
Li2 0.0000 0.5000 0.0000
Li3 0.5000 0.0000 0.0000
Zn1 0.5000 0.5000 0.5000
B1 0.0000 0.0000 0.0000

The energy above the most stable polymorph in this dataset comes out at 0.00 eV/f.u. For the density of states at the Fermi level, the calculation gives 1.78 states/eV per cell. For the theoretical density, the calculation gives 2.1 g/cm3. For the formation energy, the calculation gives 0.4646 eV/atom. Its total magnetization is 0.153 μB/atom. The value obtained for the calculated volume is 77.3 Å³/f.u. Its space-group type is Pm-3m (221).



Q: Which of these has the lowest calculated volume?
A: LiZnB